(1)
# PBE Na2EuMg, relaxed
# - total DFT energy (no corrections) (eV per atom) = -3.5197
# - DFT formation energy (eV per atom) = 0.107
# - Fermi-level density of states (states/eV/atom) = 3.539
# - offset from the most stable computed form (kcal/mol of atoms) = 0.00
data_Na2EuMg
_chemical_formula_sum 'Na2 Eu1 Mg1'
_space_group_name_H-M_alt 'P 4/m m m'
_space_group_IT_number 123
_space_group_name_Hall '-P 4 2'
_cell_length_a 5.0013
_cell_length_b 5.0013
_cell_length_c 5.7100
_cell_angle_alpha 90.00
_cell_angle_beta 90.00
_cell_angle_gamma 90.00
loop_
_atom_site_label
_atom_site_type_symbol
_atom_site_fract_x
_atom_site_fract_y
_atom_site_fract_z
_atom_site_occupancy
Na1 Na 0.0000 0.5000 0.0000 1
Eu1 Eu 0.0000 0.0000 0.5000 1
Mg1 Mg 0.5000 0.5000 0.5000 1

=====

(2)
# PBE BaMnCo2, relaxed
# - total DFT energy (no corrections) (eV per atom) = -5.4191
# - DFT formation energy (eV per atom) = 0.907
# - Fermi-level density of states (states/eV/atom) = 1.027
# - offset from the most stable computed form (kcal/mol of atoms) = 13.81
data_BaMnCo2
_chemical_formula_sum 'Ba4 Mn4 Co8'
_space_group_name_H-M_alt 'F m -3 m'
_space_group_IT_number 225
_space_group_name_Hall '-F 4 2 3'
_cell_length_a 6.5931
_cell_length_b 6.5931
_cell_length_c 6.5931
_cell_angle_alpha 90.00
_cell_angle_beta 90.00
_cell_angle_gamma 90.00
loop_
_atom_site_label
_atom_site_type_symbol
_atom_site_fract_x
_atom_site_fract_y
_atom_site_fract_z
_atom_site_occupancy
Ba1 Ba 0.0000 0.0000 0.0000 1
Mn1 Mn 0.0000 0.0000 0.5000 1
Co1 Co 0.2500 0.2500 0.2500 1